BeCuOs2: optimized geometry, PBE-GGA.

```
BeCuOs2
1.0
4.9291 0.0021 0.0121
-2.1453 4.4378 0.0121
0.6117 0.9756 2.3729
Cu Os Be
1 2 1
direct
0.0000 0.5000 0.5000
0.0000 0.0000 0.0000
0.5000 0.5000 0.0000
0.5000 0.0000 0.5000
```

Summary:
- energy relative to the elements (eV/atom) = 0.347
- electronic total energy (eV/atom) = -7.223


UNi4Pd: optimized geometry, PBE-GGA.

```
UNi4Pd
1.0
4.8583 0.0000 0.0000
2.4292 4.2074 0.0000
2.4292 1.4025 3.9668
Ni Pd U
4 1 1
direct
0.1238 0.6254 0.6254
0.6254 0.6254 0.6254
0.6254 0.1238 0.6254
0.6254 0.6254 0.1238
0.0000 0.0000 0.0000
0.2500 0.2500 0.2500
```

Summary:
- energy relative to the elements (eV/atom) = -0.349
- electronic total energy (eV/atom) = -6.950


Pa3AlGa4: optimized geometry, PBE-GGA.

```
Pa3AlGa4
1.0
4.7573 0.0000 0.0000
2.3787 4.1200 0.0000
2.3787 1.3733 8.7001
Ga Pa Al
4 3 1
direct
0.6261 0.6261 0.1217
0.3739 0.3739 0.8783
0.1235 0.1235 0.6294
0.8765 0.8765 0.3706
0.5000 0.5000 0.5000
0.2606 0.2606 0.2181
0.7394 0.7394 0.7819
0.0000 0.0000 0.0000
```

Summary:
- energy relative to the elements (eV/atom) = -0.154
- electronic total energy (eV/atom) = -5.696


LaCd2PtC: optimized geometry, PBE-GGA.

```
LaCd2PtC
1.0
6.0934 0.0000 0.0000
0.0000 4.1361 0.0000
0.0000 0.0000 6.0934
Pt Cd C La
1 2 1 1
direct
0.5000 0.5000 0.5000
0.5000 0.0000 0.0000
0.0000 0.0000 0.5000
0.0000 0.5000 0.0000
0.0000 0.0000 0.0000
```

Summary:
- energy relative to the elements (eV/atom) = 1.543
- electronic total energy (eV/atom) = -2.862


SrLa12Nd6: optimized geometry, PBE-GGA.

```
SrLa12Nd6
1.0
9.0224 0.2580 -2.0768
-2.6633 8.6242 -2.0768
0.1847 0.2580 9.2565
La Nd Sr
12 6 1
direct
0.4373 0.4373 0.1676
0.5627 0.5627 0.8324
0.1676 0.4373 0.4373
0.8898 0.5000 0.1102
0.4373 0.1676 0.4373
0.5627 0.8324 0.5627
0.1102 0.5000 0.8898
0.5000 0.1102 0.8898
0.8324 0.5627 0.5627
0.8898 0.1102 0.5000
0.1102 0.8898 0.5000
0.5000 0.8898 0.1102
0.7615 0.7615 0.2663
0.2663 0.7615 0.7615
0.7615 0.2663 0.7615
0.2385 0.7337 0.2385
0.2385 0.2385 0.7337
0.7337 0.2385 0.2385
0.0000 0.0000 0.0000
```

Summary:
- energy relative to the elements (eV/atom) = 0.305
- electronic total energy (eV/atom) = -4.401


Ca2GePtF: optimized geometry, PBE-GGA.

```
Ca2GePtF
1.0
-3.5149 -3.1836 0.5551
2.0920 -2.8108 -2.8737
2.3632 -1.9727 3.6498
Ca F Ge Pt
2 1 1 1
direct
0.5000 0.0000 0.0000
0.0000 0.0000 0.5000
0.0000 0.0000 0.0000
0.0000 0.5000 0.0000
0.5000 0.5000 0.5000
```

Summary:
- raw formation energy (eV/atom) = -1.082
- electronic total energy (eV/atom) = -4.388


TbTmGeRu: optimized geometry, PBE-GGA.

```
TbTmGeRu
1.0
-2.1913 -3.6016 -0.1909
3.2120 -1.9066 -0.8991
2.0565 0.9371 5.3593
Ge Tm Tb Ru
1 1 1 1
direct
0.4304 0.0000 0.8607
0.1335 0.0000 0.2669
0.8514 0.5000 0.7028
0.5848 0.5000 0.1696
```

Summary:
- energy relative to the elements (eV/atom) = -0.635
- offset from the most stable computed form (meV/atom) = 0
- electronic total energy (eV/atom) = -6.383


La2MnReBi: optimized geometry, PBE-GGA.

```
La2MnReBi
1.0
5.6343 0.0000 0.0000
0.0000 4.6771 0.0000
0.0000 0.0000 5.6343
La Re Mn Bi
2 1 1 1
direct
0.5000 0.0000 0.0000
0.0000 0.0000 0.5000
0.0000 0.0000 0.0000
0.0000 0.5000 0.0000
0.5000 0.5000 0.5000
```

Summary:
- energy relative to the elements (eV/atom) = 0.148
- electronic total energy (eV/atom) = -6.923


Sn3AsIr: optimized geometry, PBE-GGA.

```
Sn3AsIr
1.0
-3.3869 2.8204 2.7482
1.2224 -2.6928 4.2700
3.7434 3.4311 1.0921
Sn As Ir
3 1 1
direct
0.5000 0.0000 0.0000
0.0000 0.0000 0.5000
0.0000 0.5000 0.0000
0.0000 0.0000 0.0000
0.5000 0.5000 0.5000
```

Summary:
- energy relative to the elements (eV/atom) = 1.165
- offset from the most stable computed form (meV/atom) = 1016
- electronic total energy (eV/atom) = -3.939


Sc3Ga4: optimized geometry, PBE-GGA.

```
Sc3Ga4
1.0
-0.3702 -2.6678 -3.2429
2.4884 -1.9448 1.3159
-7.3042 -2.5172 5.6446
Ga Sc
4 3
direct
0.3520 0.3520 0.7040
0.0676 0.5676 0.1351
0.9324 0.4324 0.8649
0.6480 0.6480 0.2960
0.1952 0.1952 0.3905
0.5000 0.0000 0.0000
0.8048 0.8048 0.6095
```

Summary:
- energy relative to the elements (eV/atom) = -0.572
- electronic total energy (eV/atom) = -5.015


PrSmSiAg: optimized geometry, PBE-GGA.

```
PrSmSiAg
1.0
-3.0440 -2.9586 3.0236
1.5584 -1.2832 4.8048
-2.3650 2.0843 4.1502
Sm Si Ag Pr
1 1 1 1
direct
0.5000 0.5000 0.5000
0.7500 0.7500 0.7500
0.2500 0.2500 0.2500
0.0000 0.0000 0.0000
```

Summary:
- raw formation energy (eV/atom) = -0.413
- electronic total energy (eV/atom) = -4.857


RbPIr2: optimized geometry, PBE-GGA.

```
RbPIr2
1.0
5.9554 0.0000 0.0000
0.0000 5.2986 0.0000
0.0000 0.0000 3.4750
P Ir Rb
1 2 1
direct
0.0000 0.0000 0.5000
0.0000 0.2660 0.0000
0.0000 0.7340 0.0000
0.5000 0.5000 0.5000
```

Summary:
- energy relative to the elements (eV/atom) = -0.027
- electronic total energy (eV/atom) = -6.052


Number 1: calculated density 14.5 g/cm³. Number 2: calculated density 11.9 g/cm³. Number 3: calculated density 9.7 g/cm³. Number 4: calculated density 6.2 g/cm³. Number 5: calculated density 5.9 g/cm³. Number 6: calculated density 5.9 g/cm³. Number 7: calculated density 9.5 g/cm³. Number 8: calculated density 8.1 g/cm³. Number 9: calculated density 7.4 g/cm³. Number 10: calculated density 5.2 g/cm³. Number 11: calculated density 7.1 g/cm³. Number 12: calculated density 7.6 g/cm³.